# CaErScCd, optimized geometry, DFT PBE
# Total magnetization = 0.00 Bohr magnetons per cell
# Volume = 27.8 Å³/atom
# Formation energy = 0.09 eV/f.u.
# Calculated total energy = -3.4291 eV/atom
data_CaErScCd
_cell_length_a 7.6338
_cell_length_b 7.6338
_cell_length_c 7.6338
_cell_angle_alpha 90.00
_cell_angle_beta 90.00
_cell_angle_gamma 90.00
_space_group_name_H-M_alt 'F -4 3 m'
_space_group_IT_number 216
_space_group_name_Hall 'F -4 2 3'
loop_
_atom_site_label
_atom_site_type_symbol
_atom_site_fract_x
_atom_site_fract_y
_atom_site_fract_z
_atom_site_occupancy
Ca1 Ca 0.0000 0.0000 0.0000 1
Er1 Er 0.0000 0.0000 0.5000 1
Sc1 Sc 0.2500 0.2500 0.7500 1
Cd1 Cd 0.2500 0.2500 0.2500 1



# LiPm2NpSe5, optimized geometry, DFT PBE
# Total magnetization = 15.86 Bohr magnetons per cell
# Volume = 24.7 Å³/atom
# Calculated total energy = -6.1594 eV/atom
# Uncorrected formation energy = -1517 meV/atom
data_LiPm2NpSe5
_cell_length_a 4.1333
_cell_length_b 17.2371
_cell_length_c 12.4716
_cell_angle_alpha 90.00
_cell_angle_beta 90.00
_cell_angle_gamma 90.00
_space_group_name_H-M_alt 'C m c 21'
_space_group_IT_number 36
loop_
_space_group_symop_operation_xyz
'x,y,z'
'-x,-y,z+1/2'
'-x,y,z'
'x,-y,z+1/2'
'x+1/2,y+1/2,z'
'-x+1/2,-y+1/2,z+1/2'
'-x+1/2,y+1/2,z'
'x+1/2,-y+1/2,z+1/2'
loop_
_atom_site_label
_atom_site_type_symbol
_atom_site_fract_x
_atom_site_fract_y
_atom_site_fract_z
_atom_site_occupancy
Li1 Li 0.0000 0.0181 0.0000 1
Pm1 Pm 0.0000 0.3744 0.8208 1
Pm2 Pm 0.0000 0.3910 0.2085 1
Np1 Np 0.0000 0.3016 0.5265 1
Se1 Se 0.0000 0.0001 0.3044 1
Se2 Se 0.0000 0.1345 0.5217 1
Se3 Se 0.0000 0.1913 0.8651 1
Se4 Se 0.0000 0.2127 0.1860 1
Se5 Se 0.0000 0.4531 0.5955 1



# SiBi2B2, optimized geometry, DFT PBE
# Total magnetization = 0.00 Bohr magnetons per cell
# Volume = 18.0 Å³/atom
# Energy above the most stable polymorph in this dataset = 9.3 kJ per mole of atoms
# Calculated total energy = -4.2774 eV/atom
# Uncorrected formation energy = 1031 meV/atom
data_SiBi2B2
_cell_length_a 6.0941
_cell_length_b 6.0941
_cell_length_c 4.8367
_cell_angle_alpha 90.00
_cell_angle_beta 90.00
_cell_angle_gamma 90.00
_space_group_name_H-M_alt 'P 4/m b m'
_space_group_IT_number 127
_space_group_name_Hall '-P 4 2ab'
loop_
_atom_site_label
_atom_site_type_symbol
_atom_site_fract_x
_atom_site_fract_y
_atom_site_fract_z
_atom_site_occupancy
Si1 Si 0.0000 0.0000 0.0000 1
Bi1 Bi 0.1900 0.3100 0.5000 1
B1 B 0.0984 0.5984 0.0000 1